# DyCoPO

An optimized crystal structure of DyCoPO (PBE+U, OQMD via LeMat-Bulk).

Size of the total moment   1.22 Bohr magnetons per cell
Electronic total energy   -6.807 eV per atom

abc: 3.848 3.848 7.720
angles: 90.00 90.00 90.00
Sites, in units of the cell vectors:
Dy1 0.250 0.250 0.146
Dy2 0.750 0.750 0.854
Co1 0.250 0.750 0.500
Co2 0.750 0.250 0.500
P1 0.250 0.250 0.636
P2 0.750 0.750 0.364
O1 0.250 0.750 0.000
O2 0.750 0.250 0.000